# Re3Ni

Crystalline Re3Ni at its relaxed geometry (GGA-PBEsol, Alexandria).

Properties
Its formation energy is -0.01 eV/atom. The size of the total moment is 0.00 Bohr magnetons per cell. Its space group is Pmm2 (25).

Cell and atoms, written as POSCAR:
```
Re3Ni
1.0
2.730 0.000 0.000
0.000 4.294 0.000
0.000 0.000 4.663
Re Ni
3 1
Direct
0.000 0.000 0.000
0.000 0.500 0.334
0.500 0.500 0.819
0.500 0.000 0.488
```

# ReNi2

Crystalline ReNi2 at its relaxed geometry (GGA-PBEsol, Alexandria).

Properties
The distance to the lowest polymorph of the same formula comes out at 36 meV per atom. Its formation energy is -0.03 eV/atom. The size of the total moment is 0.00 Bohr magnetons per cell. Its space group is C2/m (12).

Cell and atoms, written as POSCAR:
```
ReNi2
1.0
4.620 -1.305 0.000
4.620 1.305 0.000
-1.666 0.000 5.847
Re Ni
2 4
Direct
0.022 0.022 0.299
0.978 0.978 0.701
0.304 0.304 0.367
0.358 0.358 0.968
0.642 0.642 0.032
0.696 0.696 0.633
```

# ReNi3

Crystalline ReNi3 at its relaxed geometry (GGA-PBEsol, Alexandria).

Properties
Its formation energy is 0.08 eV/atom. The size of the total moment is 0.00 Bohr magnetons per cell. Its space group is Cmmm (65).

Cell and atoms, written as POSCAR:
```
ReNi3
1.0
2.502 -3.612 0.000
2.502 3.612 0.000
0.000 0.000 2.546
Re Ni
1 3
Direct
0.000 0.000 0.000
0.000 0.500 0.500
0.500 0.000 0.500
0.500 0.500 0.000
```

# ReNi7

Crystalline ReNi7 at its relaxed geometry (GGA-PBEsol, Alexandria).

Properties
Its formation energy is 0.06 eV/atom. The size of the total moment is 1.86 Bohr magnetons per cell. Its space group is Fm-3m (225).

Cell and atoms, written as POSCAR:
```
ReNi7
1.0
0.000 3.519 3.519
3.519 0.000 3.519
3.519 3.519 0.000
Re Ni
1 7
Direct
0.000 0.000 0.000
0.000 0.000 0.500
0.000 0.500 0.000
0.000 0.500 0.500
0.500 0.000 0.000
0.500 0.000 0.500
0.500 0.500 0.000
0.500 0.500 0.500
```

# ReNi3

Crystalline ReNi3 at its relaxed geometry (GGA-PBEsol, Alexandria).

Properties
Its formation energy is 0.02 eV/atom. The size of the total moment is 0.00 Bohr magnetons per cell. Its space group is P4/mmm (123).

Cell and atoms, written as POSCAR:
```
ReNi3
1.0
2.571 0.000 0.000
0.000 2.571 0.000
0.000 0.000 6.940
Re Ni
1 3
Direct
0.000 0.000 0.000
0.000 0.000 0.500
0.500 0.500 0.260
0.500 0.500 0.740
```

# ReNi2

Crystalline ReNi2 at its relaxed geometry (GGA-PBEsol, Alexandria).

Properties
The distance to the lowest polymorph of the same formula comes out at 40 meV per atom. Its formation energy is -0.03 eV/atom. The size of the total moment is 0.00 Bohr magnetons per cell. Its space group is Immm (71).

Cell and atoms, written as POSCAR:
```
ReNi2
1.0
-1.285 1.827 3.740
1.285 -1.827 3.740
1.285 1.827 -3.740
Re Ni
1 2
Direct
0.000 0.000 0.000
0.334 0.334 0.000
0.666 0.666 0.000
```

# Re2Ni

Crystalline Re2Ni at its relaxed geometry (GGA-PBEsol, Alexandria).

Properties
The distance to the lowest polymorph of the same formula comes out at 34 meV per atom. Its formation energy is -0.01 eV/atom. The size of the total moment is 0.00 Bohr magnetons per cell. Its space group is P-62m (189).

Cell and atoms, written as POSCAR:
```
Re2Ni
1.0
7.177 0.000 0.000
-3.589 6.216 0.000
0.000 0.000 2.664
Re Ni
6 3
Direct
0.000 0.303 0.000
0.000 0.637 0.500
0.303 0.000 0.000
0.363 0.363 0.500
0.637 0.000 0.500
0.697 0.697 0.000
0.000 0.000 0.500
0.333 0.667 0.000
0.667 0.333 0.000
```

# ReNi2

Crystalline ReNi2 at its relaxed geometry (GGA-PBEsol, Alexandria).

Properties
The distance to the lowest polymorph of the same formula comes out at 52 meV per atom. Its formation energy is -0.02 eV/atom. The size of the total moment is 0.00 Bohr magnetons per cell. Its space group is Cmcm (63).

Cell and atoms, written as POSCAR:
```
ReNi2
1.0
1.282 -6.665 0.000
1.282 6.665 0.000
0.000 0.000 4.117
Re Ni
2 4
Direct
0.114 0.886 0.750
0.886 0.114 0.250
0.219 0.781 0.250
0.448 0.552 0.750
0.552 0.448 0.250
0.781 0.219 0.750
```

# ReNi2

Crystalline ReNi2 at its relaxed geometry (GGA-PBEsol, Alexandria).

Properties
The distance to the lowest polymorph of the same formula comes out at 0 meV per atom. Its formation energy is -0.07 eV/atom. The size of the total moment is 0.00 Bohr magnetons per cell. Its space group is P6/mmm (191).

Cell and atoms, written as POSCAR:
```
ReNi2
1.0
4.007 0.000 0.000
-2.004 3.471 0.000
0.000 0.000 2.507
Re Ni
1 2
Direct
0.000 0.000 0.000
0.333 0.667 0.500
0.667 0.333 0.500
```

# ReNiRh2

Crystalline ReNiRh2 at its relaxed geometry (GGA-PBEsol, Alexandria).

Properties
The distance to the lowest polymorph of the same formula comes out at 50 meV per atom. Its formation energy is -0.03 eV/atom. The size of the total moment is 0.00 Bohr magnetons per cell. Its space group is Pmm2 (25).

Cell and atoms, written as POSCAR:
```
ReNiRh2
1.0
2.662 0.000 0.000
0.000 3.727 0.000
0.000 0.000 5.263
Re Ni Rh
1 1 2
Direct
0.000 0.000 0.000
0.500 0.500 0.766
0.000 0.000 0.528
0.500 0.500 0.252
```

# ReNiRh

Crystalline ReNiRh at its relaxed geometry (GGA-PBEsol, Alexandria).

Properties
The distance to the lowest polymorph of the same formula comes out at 0 meV per atom. Its formation energy is -0.11 eV/atom. The size of the total moment is 0.00 Bohr magnetons per cell. Its space group is Imm2 (44).

Cell and atoms, written as POSCAR:
```
ReNiRh
1.0
-1.332 1.848 3.901
1.332 -1.848 3.901
1.332 1.848 -3.901
Re Ni Rh
1 1 1
Direct
0.000 0.000 0.000
0.339 0.339 0.000
0.669 0.669 0.000
```

# ReNiRh2

Crystalline ReNiRh2 at its relaxed geometry (GGA-PBEsol, Alexandria).

Properties
The distance to the lowest polymorph of the same formula comes out at 35 meV per atom. Its formation energy is -0.05 eV/atom. The size of the total moment is 0.01 Bohr magnetons per cell. Its space group is P4/mmm (123).

Cell and atoms, written as POSCAR:
```
ReNiRh2
1.0
2.680 0.000 0.000
0.000 2.680 0.000
0.000 0.000 7.295
Re Ni Rh
1 1 2
Direct
0.000 0.000 0.000
0.000 0.000 0.500
0.500 0.500 0.256
0.500 0.500 0.744
```

# ReNi2Rh

Crystalline ReNi2Rh at its relaxed geometry (GGA-PBEsol, Alexandria).

Properties
The distance to the lowest polymorph of the same formula comes out at 316 meV per atom. Its formation energy is 0.26 eV/atom. The size of the total moment is 0.00 Bohr magnetons per cell. Its space group is Pmmm (47).

Cell and atoms, written as POSCAR:
```
ReNi2Rh
1.0
2.678 0.000 0.000
0.000 4.295 0.000
0.000 0.000 4.380
Re Ni Rh
1 2 1
Direct
0.000 0.000 0.000
0.000 0.500 0.500
0.500 0.500 0.000
0.500 0.000 0.500
```

# ReNiRh

Crystalline ReNiRh at its relaxed geometry (GGA-PBEsol, Alexandria).

Properties
The distance to the lowest polymorph of the same formula comes out at 75 meV per atom. Its formation energy is -0.04 eV/atom. The size of the total moment is 0.00 Bohr magnetons per cell. Its space group is I4mm (107).

Cell and atoms, written as POSCAR:
```
ReNiRh
1.0
-1.338 1.338 5.396
1.338 -1.338 5.396
1.338 1.338 -5.396
Re Ni Rh
1 1 1
Direct
0.000 0.000 0.000
0.341 0.341 0.000
0.672 0.672 0.000
```

# ReNi2Rh

Crystalline ReNi2Rh at its relaxed geometry (GGA-PBEsol, Alexandria).

Properties
The distance to the lowest polymorph of the same formula comes out at 30 meV per atom. Its formation energy is -0.03 eV/atom. The size of the total moment is 0.00 Bohr magnetons per cell. Its space group is Cm (8).

Cell and atoms, written as POSCAR:
```
ReNi2Rh
1.0
4.312 -1.311 0.000
4.312 1.311 0.000
-0.810 0.000 4.328
Re Ni Rh
1 2 1
Direct
0.000 0.000 0.000
0.496 0.496 0.487
0.749 0.749 0.253
0.246 0.246 0.750
```

# ReNiRh2

Crystalline ReNiRh2 at its relaxed geometry (GGA-PBEsol, Alexandria).

Properties
The distance to the lowest polymorph of the same formula comes out at 38 meV per atom. Its formation energy is -0.05 eV/atom. The size of the total moment is 0.00 Bohr magnetons per cell. Its space group is C2/m (12).

Cell and atoms, written as POSCAR:
```
ReNiRh2
1.0
4.382 -1.325 0.000
4.382 1.325 0.000
-0.787 0.000 4.482
Re Ni Rh
1 1 2
Direct
0.000 0.000 0.000
0.500 0.500 0.500
0.250 0.250 0.748
0.750 0.750 0.252
```

# ReNi2Rh

Crystalline ReNi2Rh at its relaxed geometry (GGA-PBEsol, Alexandria).

Properties
The distance to the lowest polymorph of the same formula comes out at 18 meV per atom. Its formation energy is -0.04 eV/atom. The size of the total moment is 0.00 Bohr magnetons per cell. Its space group is Pmm2 (25).

Cell and atoms, written as POSCAR:
```
ReNi2Rh
1.0
2.637 0.000 0.000
0.000 3.660 0.000
0.000 0.000 5.089
Re Ni Rh
1 2 1
Direct
0.000 0.000 0.000
0.000 0.000 0.522
0.500 0.500 0.752
0.500 0.500 0.258
```

# ReNiRh2

Crystalline ReNiRh2 at its relaxed geometry (GGA-PBEsol, Alexandria).

Properties
The distance to the lowest polymorph of the same formula comes out at 11 meV per atom. Its formation energy is -0.07 eV/atom. The size of the total moment is 0.00 Bohr magnetons per cell. Its space group is I4/mmm (139).

Cell and atoms, written as POSCAR:
```
ReNiRh2
1.0
-1.876 1.876 3.689
1.876 -1.876 3.689
1.876 1.876 -3.689
Re Ni Rh
1 1 2
Direct
0.000 0.000 0.000
0.500 0.500 0.000
0.250 0.750 0.500
0.750 0.250 0.500
```

# ReNiRh2

Crystalline ReNiRh2 at its relaxed geometry (GGA-PBEsol, Alexandria).

Properties
The distance to the lowest polymorph of the same formula comes out at 354 meV per atom. Its formation energy is 0.27 eV/atom. The size of the total moment is 0.00 Bohr magnetons per cell. Its space group is F-43m (216).

Cell and atoms, written as POSCAR:
```
ReNiRh2
1.0
0.000 2.978 2.978
2.978 0.000 2.978
2.978 2.978 0.000
Re Ni Rh
1 1 2
Direct
0.000 0.000 0.000
0.250 0.250 0.250
0.500 0.500 0.500
0.750 0.750 0.750
```

# ReNiRh

Crystalline ReNiRh at its relaxed geometry (GGA-PBEsol, Alexandria).

Properties
The distance to the lowest polymorph of the same formula comes out at 790 meV per atom. Its formation energy is 0.68 eV/atom. The size of the total moment is 0.00 Bohr magnetons per cell. Its space group is F-43m (216).

Cell and atoms, written as POSCAR:
```
ReNiRh
1.0
0.000 2.787 2.787
2.787 0.000 2.787
2.787 2.787 0.000
Re Ni Rh
1 1 1
Direct
0.000 0.000 0.000
0.750 0.750 0.750
0.500 0.500 0.500
```

# ReNiRh2

Crystalline ReNiRh2 at its relaxed geometry (GGA-PBEsol, Alexandria).

Properties
The distance to the lowest polymorph of the same formula comes out at 289 meV per atom. Its formation energy is 0.20 eV/atom. The size of the total moment is 0.00 Bohr magnetons per cell. Its space group is Fm-3m (225).

Cell and atoms, written as POSCAR:
```
ReNiRh2
1.0
0.000 2.983 2.983
2.983 0.000 2.983
2.983 2.983 0.000
Re Ni Rh
1 1 2
Direct
0.000 0.000 0.000
0.500 0.500 0.500
0.250 0.250 0.250
0.750 0.750 0.750
```

# ReNiRh2

Crystalline ReNiRh2 at its relaxed geometry (GGA-PBEsol, Alexandria).

Properties
The distance to the lowest polymorph of the same formula comes out at 0 meV per atom. Its formation energy is -0.08 eV/atom. The size of the total moment is 0.00 Bohr magnetons per cell. Its space group is Pmmm (47).

Cell and atoms, written as POSCAR:
```
ReNiRh2
1.0
2.670 0.000 0.000
0.000 3.710 0.000
0.000 0.000 5.258
Re Ni Rh
1 1 2
Direct
0.000 0.000 0.000
0.000 0.000 0.500
0.500 0.500 0.254
0.500 0.500 0.746
```

# ReNi2Rh

Crystalline ReNi2Rh at its relaxed geometry (GGA-PBEsol, Alexandria).

Properties
The distance to the lowest polymorph of the same formula comes out at 0 meV per atom. Its formation energy is -0.06 eV/atom. The size of the total moment is 0.00 Bohr magnetons per cell. Its space group is I-4m2 (119).

Cell and atoms, written as POSCAR:
```
ReNi2Rh
1.0
-1.800 1.800 3.748
1.800 -1.800 3.748
1.800 1.800 -3.748
Re Ni Rh
1 2 1
Direct
0.000 0.000 0.000
0.500 0.500 0.000
0.750 0.250 0.500
0.250 0.750 0.500
```

# ReNi2Ru

Crystalline ReNi2Ru at its relaxed geometry (GGA-PBEsol, Alexandria).

Properties
The distance to the lowest polymorph of the same formula comes out at 0 meV per atom. Its formation energy is -0.01 eV/atom. The size of the total moment is 0.00 Bohr magnetons per cell. Its space group is I-4m2 (119).

Cell and atoms, written as POSCAR:
```
ReNi2Ru
1.0
-1.821 1.821 3.666
1.821 -1.821 3.666
1.821 1.821 -3.666
Re Ni Ru
1 2 1
Direct
0.000 0.000 0.000
0.250 0.750 0.500
0.500 0.500 0.000
0.750 0.250 0.500
```

# ReNi2Ru

Crystalline ReNi2Ru at its relaxed geometry (GGA-PBEsol, Alexandria).

Properties
The distance to the lowest polymorph of the same formula comes out at 40 meV per atom. Its formation energy is 0.03 eV/atom. The size of the total moment is 0.00 Bohr magnetons per cell. Its space group is Pmm2 (25).

Cell and atoms, written as POSCAR:
```
ReNi2Ru
1.0
2.648 0.000 0.000
0.000 3.619 0.000
0.000 0.000 5.123
Re Ni Ru
1 2 1
Direct
0.000 0.000 0.000
0.000 0.000 0.519
0.500 0.500 0.744
0.500 0.500 0.257
```

# Re2NiRu

Crystalline Re2NiRu at its relaxed geometry (GGA-PBEsol, Alexandria).

Properties
The distance to the lowest polymorph of the same formula comes out at 526 meV per atom. Its formation energy is 0.46 eV/atom. The size of the total moment is 0.00 Bohr magnetons per cell. Its space group is Fm-3m (225).

Cell and atoms, written as POSCAR:
```
Re2NiRu
1.0
0.000 2.999 2.999
2.999 0.000 2.999
2.999 2.999 0.000
Re Ni Ru
2 1 1
Direct
0.250 0.250 0.250
0.750 0.750 0.750
0.000 0.000 0.000
0.500 0.500 0.500
```

# Re2NiRu

Crystalline Re2NiRu at its relaxed geometry (GGA-PBEsol, Alexandria).

Properties
The distance to the lowest polymorph of the same formula comes out at 0 meV per atom. Its formation energy is -0.06 eV/atom. The size of the total moment is 0.00 Bohr magnetons per cell. Its space group is Pmm2 (25).

Cell and atoms, written as POSCAR:
```
Re2NiRu
1.0
2.691 0.000 0.000
0.000 4.247 0.000
0.000 0.000 4.636
Re Ni Ru
2 1 1
Direct
0.000 0.000 0.000
0.000 0.500 0.338
0.500 0.000 0.493
0.500 0.500 0.821
```

# ReNi2Ru

Crystalline ReNi2Ru at its relaxed geometry (GGA-PBEsol, Alexandria).

Properties
The distance to the lowest polymorph of the same formula comes out at 266 meV per atom. Its formation energy is 0.26 eV/atom. The size of the total moment is 0.00 Bohr magnetons per cell. Its space group is Fm-3m (225).

Cell and atoms, written as POSCAR:
```
ReNi2Ru
1.0
0.000 2.897 2.897
2.897 0.000 2.897
2.897 2.897 0.000
Re Ni Ru
1 2 1
Direct
0.000 0.000 0.000
0.250 0.250 0.250
0.750 0.750 0.750
0.500 0.500 0.500
```

# ReNi2Ru

Crystalline ReNi2Ru at its relaxed geometry (GGA-PBEsol, Alexandria).

Properties
The distance to the lowest polymorph of the same formula comes out at 85 meV per atom. Its formation energy is 0.08 eV/atom. The size of the total moment is 0.00 Bohr magnetons per cell. Its space group is I4/mmm (139).

Cell and atoms, written as POSCAR:
```
ReNi2Ru
1.0
-1.811 1.811 3.709
1.811 -1.811 3.709
1.811 1.811 -3.709
Re Ni Ru
1 2 1
Direct
0.000 0.000 0.000
0.250 0.750 0.500
0.750 0.250 0.500
0.500 0.500 0.000
```

# Re3NiRu

Crystalline Re3NiRu at its relaxed geometry (GGA-PBEsol, Alexandria).

Properties
Its formation energy is 2.53 eV/atom. The size of the total moment is 0.00 Bohr magnetons per cell. Its space group is Pm-3m (221).

Cell and atoms, written as POSCAR:
```
Re3NiRu
1.0
4.552 0.000 0.000
0.000 4.552 0.000
0.000 0.000 4.552
Re Ni Ru
3 1 1
Direct
0.000 0.000 0.500
0.000 0.500 0.000
0.500 0.000 0.000
0.500 0.500 0.500
0.000 0.000 0.000
```